DFT (GGA+U) results for a relaxed Mn3FeO6 crystal.

It has space group P2_1/c (No. 14), with a = 5.0525 Å, b = 5.3333 Å, c = 9.1643 Å, α = 90.00°, β = 123.35° and γ = 90.00°. The distinct sites, in fractional coordinates, are Mn at (0.0000, 0.0000, 0.0000), Mn at (0.2868, 0.0719, 0.7657), Fe at (0.5000, 0.0000, 0.5000), O at (0.0985, 0.0717, 0.2401), O at (0.2745, 0.7056, 0.0827) and O at (0.3704, 0.1933, 0.0639).

The value obtained for the size of the total moment is 34.0 Bohr magnetons per cell. As for the raw total energy: -0.2658 Ha/atom. The density comes out at 5.10 g/cm³.